DFT (PBE) results for crystalline Dy2ScPd at its relaxed geometry.

## Properties
ΔE to the lowest computed polymorph = 142 meV/atom

```
data_Dy2ScPd
_cell_length_a 3.558
_cell_length_b 3.558
_cell_length_c 9.736
_cell_angle_alpha 79.47
_cell_angle_beta 79.47
_cell_angle_gamma 60.00
_symmetry_space_group_name_H-M 'P 1'
_symmetry_Int_Tables_number 1
_symmetry_space_group_name_Hall 'P 1'
loop_
_atom_site_label
_atom_site_type_symbol
_atom_site_fract_x
_atom_site_fract_y
_atom_site_fract_z
Sc1 Sc 0.500 0.500 0.499
Pd1 Pd 0.667 0.667 0.000
Dy1 Dy 0.071 0.071 0.787
Dy2 Dy 0.262 0.262 0.213
```

DFT (PBE) results for crystalline CaGa2Pb2 at its relaxed geometry.

## Properties
ΔE to the lowest computed polymorph = 104 meV/atom

```
data_CaGa2Pb2
_cell_length_a 8.560
_cell_length_b 8.560
_cell_length_c 3.735
_cell_angle_alpha 90.00
_cell_angle_beta 90.00
_cell_angle_gamma 90.00
_symmetry_space_group_name_H-M 'P 1'
_symmetry_Int_Tables_number 1
_symmetry_space_group_name_Hall 'P 1'
loop_
_atom_site_label
_atom_site_type_symbol
_atom_site_fract_x
_atom_site_fract_y
_atom_site_fract_z
Pb1 Pb 0.364 0.864 0.000
Pb2 Pb 0.636 0.136 0.000
Pb3 Pb 0.864 0.636 0.000
Pb4 Pb 0.136 0.364 0.000
Ga1 Ga 0.659 0.841 0.500
Ga2 Ga 0.159 0.659 0.500
Ga3 Ga 0.341 0.159 0.500
Ga4 Ga 0.841 0.341 0.500
Ca1 Ca 0.000 0.000 0.000
Ca2 Ca 0.500 0.500 0.000
```

Number 1: formation enthalpy at 0 K -0.255 eV per atom, density of states at the Fermi level 1.08 states/eV/atom, spin magnetization 0.4 μB/f.u.. Number 2: formation enthalpy at 0 K -0.067 eV per atom, density of states at the Fermi level 0.60 states/eV/atom, spin magnetization 0.0 μB/f.u..